Compound: CaTmTh2
Source: the Alexandria database
Functional: PBE-GGA
Structure: relaxed

Output
VASP energy (eV/cell): -20.38
Space group: R-3m, No. 166
Energy above the most stable polymorph in this dataset (eV/atom): 0.047
ΔH_f (0 K) (eV/f.u.): 0.928

a = 3.4896 Å, b = 3.4896 Å, c = 12.9801 Å
α = 82.27°, β = 82.27°, γ = 60.00°
Element x y z (fractional)
Ca (0.0000, 0.0000, 0.0000)
Tm (0.5000, 0.5000, 0.5000)
Th (0.0901, 0.0901, 0.7298)
Th (0.9099, 0.9099, 0.2702)